# 1
Entry from Alexandria via LeMat-Bulk: a geometry-optimized DyLuScPd structure (PBE-GGA).

Values from the calculation:
V: 377.5 Å³/cell
Energy of formation: -0.2095 eV per atom

Cell lengths 7.227, 7.227, 7.227 Å; angles 90.00, 90.00, 90.00 degrees
Space group F-43m (No. 216)
Inequivalent atoms, fractional coordinates:
Dy 0.000 0.000 0.000
Lu 0.000 0.000 0.500
Sc 0.250 0.250 0.250
Pd 0.250 0.250 0.750

# 2
Entry from Alexandria via LeMat-Bulk: a geometry-optimized DyLuTlPd structure (PBE-GGA).

Values from the calculation:
V: 380.8 Å³/cell
Energy of formation: -0.5523 eV per atom

Cell lengths 7.248, 7.248, 7.248 Å; angles 90.00, 90.00, 90.00 degrees
Space group F-43m (No. 216)
Inequivalent atoms, fractional coordinates:
Dy 0.000 0.000 0.000
Lu 0.000 0.000 0.500
Tl 0.250 0.250 0.750
Pd 0.250 0.250 0.250

# 3
Entry from Alexandria via LeMat-Bulk: a geometry-optimized Pm2DyLu structure (PBE-GGA).

Values from the calculation:
V: 129.1 Å³/cell
Energy of formation: 0.0231 eV per atom

Cell lengths 3.583, 3.583, 10.059 Å; angles 90.00, 90.00, 90.00 degrees
Space group P4/mmm (No. 123)
Inequivalent atoms, fractional coordinates:
Pm 0.000 0.000 0.247
Dy 0.500 0.500 0.500
Lu 0.500 0.500 0.000

# 4
Entry from Alexandria via LeMat-Bulk: a geometry-optimized Pm2DyLu structure (PBE-GGA).

Values from the calculation:
V: 521.9 Å³/cell
Energy of formation: 0.1075 eV per atom

Cell lengths 8.051, 8.051, 8.051 Å; angles 90.00, 90.00, 90.00 degrees
Space group Fm-3m (No. 225)
Inequivalent atoms, fractional coordinates:
Pm 0.250 0.250 0.250
Dy 0.000 0.000 0.000
Lu 0.000 0.000 0.500